NdNi3C4O12 (PBE with a Hubbard U, relaxed); final energy = -6.932 eV per atom; space-group type = R32 (155)
1.0
6.1621 0.0640 0.0889
-1.4226 5.9960 0.0889
-1.4226 -1.8189 5.7142
O C Nd Ni
12 4 1 3
Direct
0.6278 0.8120 0.0360 O
0.5000 0.0887 0.9113 O
0.8120 0.0360 0.6278 O
0.1880 0.3722 0.9640 O
0.5000 0.3649 0.6351 O
0.0887 0.9113 0.5000 O
0.0360 0.6278 0.8120 O
0.9113 0.5000 0.0887 O
0.6351 0.5000 0.3649 O
0.9640 0.1880 0.3722 O
0.3722 0.9640 0.1880 O
0.3649 0.6351 0.5000 O
0.5000 0.9539 0.0461 C
0.9539 0.0461 0.5000 C
0.5000 0.5000 0.5000 C
0.0461 0.5000 0.9539 C
0.0000 0.0000 0.0000 Nd
0.4563 0.0000 0.5437 Ni
0.0000 0.5437 0.4563 Ni
0.5437 0.4563 0.0000 Ni